(1)
{
  "formula": "YHg7",
  "functional": "GGA-PBE",
  "state": "optimized geometry",
  "polymorph_energy_kj_per_mol_fu": 24,
  "dft_energy_ev_per_atom": -1.191,
  "lattice_angstrom": [[0.000, 4.683, 4.683], [4.683, 0.000, 4.683], [4.683, 4.683, 0.000]],
  "species": ["Y", "Hg", "Hg", "Hg", "Hg", "Hg", "Hg", "Hg"],
  "fractional_positions": [[0.000, 0.000, 0.000], [0.000, 0.000, 0.500], [0.000, 0.500, 0.000], [0.000, 0.500, 0.500], [0.500, 0.000, 0.000], [0.500, 0.000, 0.500], [0.500, 0.500, 0.000], [0.500, 0.500, 0.500]]
}


(2)
{
  "formula": "Y2Hg",
  "functional": "GGA-PBE",
  "state": "optimized geometry",
  "dft_energy_ev_per_atom": -4.705,
  "lattice_angstrom": [[6.636, -1.942, 0.000], [6.636, 1.942, 0.000], [-0.008, 0.000, 6.865]],
  "species": ["Y", "Y", "Y", "Y", "Hg", "Hg"],
  "fractional_positions": [[0.000, 0.000, 0.000], [0.035, 0.035, 0.500], [0.320, 0.320, 0.284], [0.715, 0.715, 0.785], [0.392, 0.392, 0.732], [0.643, 0.643, 0.233]]
}


(3)
{
  "formula": "Y2Hg3",
  "functional": "GGA-PBE",
  "state": "optimized geometry",
  "polymorph_energy_kj_per_mol_fu": 0,
  "dft_energy_ev_per_atom": -3.181,
  "lattice_angstrom": [[0.000, 7.584, 3.115], [5.420, 0.000, 3.115], [5.420, 7.584, 0.000]],
  "species": ["Y", "Y", "Y", "Y", "Hg", "Hg", "Hg", "Hg", "Hg", "Hg"],
  "fractional_positions": [[0.124, 0.876, 0.267], [0.517, 0.983, 0.374], [0.876, 0.124, 0.733], [0.983, 0.517, 0.126], [0.130, 0.130, 0.870], [0.380, 0.380, 0.120], [0.473, 0.577, 0.296], [0.577, 0.473, 0.654], [0.596, 0.954, 0.673], [0.954, 0.596, 0.777]]
}


(4)
{
  "formula": "YHg7",
  "functional": "GGA-PBE",
  "state": "optimized geometry",
  "polymorph_energy_kj_per_mol_fu": 0,
  "dft_energy_ev_per_atom": -1.222,
  "lattice_angstrom": [[-2.262, 2.262, 9.762], [2.262, -2.262, 9.762], [2.262, 2.262, -9.762]],
  "species": ["Y", "Hg", "Hg", "Hg", "Hg", "Hg", "Hg", "Hg"],
  "fractional_positions": [[0.000, 0.000, 0.000], [0.123, 0.623, 0.500], [0.252, 0.252, 0.000], [0.377, 0.877, 0.500], [0.500, 0.500, 0.000], [0.623, 0.123, 0.500], [0.748, 0.748, 0.000], [0.877, 0.377, 0.500]]
}


(5)
{
  "formula": "YHg4",
  "functional": "GGA-PBE",
  "state": "optimized geometry",
  "polymorph_energy_kj_per_mol_fu": 242,
  "dft_energy_ev_per_atom": -1.253,
  "lattice_angstrom": [[6.036, 0.000, 0.000], [0.000, 6.036, 0.000], [0.000, 0.000, 6.036]],
  "species": ["Y", "Hg", "Hg", "Hg", "Hg"],
  "fractional_positions": [[0.000, 0.000, 0.000], [0.000, 0.000, 0.500], [0.000, 0.500, 0.000], [0.500, 0.000, 0.000], [0.500, 0.500, 0.500]]
}


(6)
{
  "formula": "YHg5",
  "functional": "GGA-PBE",
  "state": "optimized geometry",
  "dft_energy_ev_per_atom": -1.369,
  "lattice_angstrom": [[0.000, 4.247, 4.247], [4.247, 0.000, 4.247], [4.247, 4.247, 0.000]],
  "species": ["Y", "Hg", "Hg", "Hg", "Hg", "Hg"],
  "fractional_positions": [[0.000, 0.000, 0.000], [0.375, 0.375, 0.375], [0.375, 0.375, 0.875], [0.375, 0.875, 0.375], [0.750, 0.750, 0.750], [0.875, 0.375, 0.375]]
}


Please write out number 5 again, unchanged.
{
  "formula": "YHg4",
  "functional": "GGA-PBE",
  "state": "optimized geometry",
  "polymorph_energy_kj_per_mol_fu": 242,
  "dft_energy_ev_per_atom": -1.253,
  "lattice_angstrom": [[6.036, 0.000, 0.000], [0.000, 6.036, 0.000], [0.000, 0.000, 6.036]],
  "species": ["Y", "Hg", "Hg", "Hg", "Hg"],
  "fractional_positions": [[0.000, 0.000, 0.000], [0.000, 0.000, 0.500], [0.000, 0.500, 0.000], [0.500, 0.000, 0.000], [0.500, 0.500, 0.500]]
}